Entry from the Alexandria database: crystalline TaCu3 at its relaxed geometry (PBE-GGA).

Cell lengths 4.7876, 8.8034, 5.2360 Å; angles 90.00, 90.00, 90.00 degrees
Closest atoms and distances in Å follow each position.
Space group Pnma (No. 62)
Asymmetric unit:
Ta (0.0261, 0.2500, 0.1399) [4 per cell]  9 Cu 2.62-2.81, 2 Ta 2.66
Cu (0.0639, 0.2500, 0.6415) [4 per cell]  8 Cu 2.54-2.80, 3 Ta 2.62-2.66
Cu (0.2340, 0.5117, 0.3808) [8 per cell]  9 Cu 2.54-2.84, 3 Ta 2.70-2.81

Values from the calculation:
Volume in Å³/atom: 13.8
DOS(E_F) in states/eV per atom: 0.40
DFT total energy in eV/atom: -5.84